First-principles (GGA-PBE) data for an optimized crystal structure of CaAc2ErO6, as listed in the Alexandria database.

Properties
- Magnetization: 1.07 μB/f.u.
- Volume: 16.276 Å³/atom
- VASP energy: -150.98 eV/cell

```
CaAc2ErO6
1.0
6.0271 0.0000 0.0037
0.0000 6.2336 0.0000
0.0586 0.0000 8.6646
O Ac Er Ca
12 4 2 2
Direct
0.3752 0.9365 0.7427
0.6248 0.0635 0.2573
0.1887 0.2042 0.0724
0.8752 0.5635 0.2427
0.8012 0.8115 0.5617
0.3012 0.6885 0.0617
0.3113 0.7042 0.4276
0.1988 0.1885 0.4383
0.1248 0.4365 0.7573
0.6887 0.2958 0.5724
0.8113 0.7958 0.9276
0.6988 0.3115 0.9383
0.0179 0.9462 0.2530
0.5179 0.5538 0.7530
0.9821 0.0538 0.7470
0.4821 0.4462 0.2470
0.5000 0.0000 0.5000
0.0000 0.5000 0.0000
0.5000 0.0000 0.0000
0.0000 0.5000 0.5000
```


First-principles (GGA-PBE) data for an optimized crystal structure of GaGeC3, as listed in the Alexandria database.

Properties
- Magnetization: 0.00 μB/f.u.
- Volume: 12.694 Å³/atom
- VASP energy: -22.41 eV/cell

```
GaGeC3
1.0
-3.0333 1.8668 1.7959
-2.5288 -2.7337 -1.4295
0.5618 -2.2256 3.2623
C Ga Ge
3 1 1
Direct
0.5000 0.0000 0.0000
0.0000 0.5000 0.0000
0.0000 0.0000 0.5000
0.5000 0.5000 0.5000
0.0000 0.0000 0.0000
```


First-principles (GGA-PBE) data for an optimized crystal structure of K2ClF4, as listed in the Alexandria database.

Properties
- Magnetization: 1.04 μB/f.u.
- Volume: 18.725 Å³/atom
- VASP energy: -22.88 eV/cell

```
K2ClF4
1.0
4.3355 0.0000 0.0000
0.0000 4.3355 0.0000
2.1677 2.1677 6.9735
F Cl K
4 1 2
Direct
0.1719 0.1719 0.6562
0.0000 0.5000 0.0000
0.8281 0.8281 0.3438
0.5000 0.0000 0.0000
0.0000 0.0000 0.0000
0.3578 0.3578 0.2845
0.6422 0.6422 0.7155
```


First-principles (GGA-PBE) data for an optimized crystal structure of MgCo2Ge, as listed in the Alexandria database.

Properties
- Magnetization: 3.01 μB/f.u.
- Volume: 15.556 Å³/atom
- VASP energy: -18.43 eV/cell

```
MgCo2Ge
1.0
4.7559 -1.7131 -2.7273
-1.6356 4.7830 2.7273
-3.3560 0.2903 4.6523
Co Ge Mg
2 1 1
Direct
0.0000 0.2757 0.2757
0.0000 0.7243 0.7243
0.0000 0.5000 0.5000
0.0000 0.0000 0.0000
```


First-principles (GGA-PBE) data for an optimized crystal structure of CsTiSb2, as listed in the Alexandria database.

Properties
- Magnetization: 0.76 μB/f.u.
- Volume: 29.268 Å³/atom
- VASP energy: -17.94 eV/cell

```
CsTiSb2
1.0
3.5277 0.0000 0.0000
0.0000 3.5277 0.0000
0.0000 0.0000 9.4074
Sb Cs Ti
2 1 1
Direct
0.0000 0.0000 0.8228
0.0000 0.0000 0.1772
0.5000 0.5000 0.5000
0.5000 0.5000 0.0000
```


First-principles (GGA-PBE) data for an optimized crystal structure of RbCaMn2Te, as listed in the Alexandria database.

Properties
- Magnetization: 7.73 μB/f.u.
- Volume: 34.862 Å³/atom
- VASP energy: -21.47 eV/cell

```
RbCaMn2Te
1.0
5.4150 0.0000 0.0000
0.0000 5.9445 0.0000
0.0000 0.0000 5.4150
Rb Mn Ca Te
1 2 1 1
Direct
0.5000 0.5000 0.5000
0.5000 0.0000 0.0000
0.0000 0.0000 0.5000
0.0000 0.5000 0.0000
0.0000 0.0000 0.0000
```


First-principles (GGA-PBE) data for an optimized crystal structure of Tm2Tl3Br9, as listed in the Alexandria database.

Properties
- Magnetization: 0.00 μB/f.u.
- Volume: 37.319 Å³/atom
- VASP energy: -101.86 eV/cell

```
Tm2Tl3Br9
1.0
-0.1582 -7.5986 6.8058
6.7787 -5.9128 -4.8137
8.1324 3.1251 5.3085
Br Tl Tm
18 6 4
Direct
0.4314 0.2230 0.5760
0.2770 0.0686 0.9240
0.7230 0.9314 0.0760
0.5760 0.4314 0.2230
0.5950 0.9050 0.7500
0.4050 0.0950 0.2500
0.9240 0.2770 0.0686
0.4240 0.5686 0.7770
0.0950 0.2500 0.4050
0.0760 0.7230 0.9314
0.0686 0.9240 0.2770
0.9050 0.7500 0.5950
0.7770 0.4240 0.5686
0.2500 0.4050 0.0950
0.2230 0.5760 0.4314
0.7500 0.5950 0.9050
0.9314 0.0760 0.7230
0.5686 0.7770 0.4240
0.4587 0.7500 0.0413
0.9587 0.5413 0.2500
0.0413 0.4587 0.7500
0.7500 0.0413 0.4587
0.5413 0.2500 0.9587
0.2500 0.9587 0.5413
0.6491 0.6491 0.6491
0.8509 0.8509 0.8509
0.1491 0.1491 0.1491
0.3509 0.3509 0.3509
```


First-principles (GGA-PBE) data for an optimized crystal structure of ThNbVGe2, as listed in the Alexandria database.

Properties
- Magnetization: 0.00 μB/f.u.
- Volume: 19.564 Å³/atom
- VASP energy: -38.50 eV/cell

```
ThNbVGe2
1.0
-0.6548 -3.1056 2.5417
3.5571 0.7431 1.8244
-4.1545 4.8439 1.5957
Ge Nb V Th
2 1 1 1
Direct
0.6095 0.6095 0.2189
0.3905 0.3905 0.7811
0.7500 0.2500 0.5000
0.2500 0.7500 0.5000
0.0000 0.0000 0.0000
```


First-principles (GGA-PBE) data for an optimized crystal structure of La4Pr4Ho3, as listed in the Alexandria database.

Properties
- Magnetization: 0.00 μB/f.u.
- Volume: 35.351 Å³/atom
- VASP energy: -51.15 eV/cell

```
La4Pr4Ho3
1.0
-4.5174 -1.6444 3.3171
2.7900 -4.8960 -3.7697
6.8324 -2.3672 8.1313
Pr La Ho
4 4 3
Direct
0.5406 0.0812 0.0000
0.1056 0.2113 0.6978
0.6151 0.2302 0.5000
0.1056 0.2113 0.3022
0.8913 0.7825 0.5000
0.9546 0.9092 0.0000
0.7577 0.5153 0.1969
0.7577 0.5153 0.8031
0.4094 0.8187 0.7098
0.2516 0.5033 0.0000
0.4094 0.8187 0.2902
```


First-principles (GGA-PBE) data for an optimized crystal structure of SmHoCd5, as listed in the Alexandria database.

Properties
- Magnetization: 0.00 μB/f.u.
- Volume: 26.362 Å³/atom
- VASP energy: -14.63 eV/cell

```
SmHoCd5
1.0
5.1695 -0.0005 0.0000
-0.0005 5.1694 0.0000
0.0000 0.0000 6.9054
Cd Sm Ho
5 1 1
Direct
0.5000 0.5000 0.5000
0.0000 0.5000 0.2295
0.0000 0.5000 0.7705
0.5000 0.0000 0.2295
0.5000 0.0000 0.7705
0.0000 0.0000 0.5000
0.5000 0.5000 0.0000
```


First-principles (GGA-PBE) data for an optimized crystal structure of KBa2Cr, as listed in the Alexandria database.

Properties
- Magnetization: 4.71 μB/f.u.
- Volume: 48.408 Å³/atom
- VASP energy: -12.17 eV/cell

```
KBa2Cr
1.0
6.1727 0.0000 0.0000
0.0000 6.1701 0.0000
0.0000 0.0000 5.0840
Ba K Cr
2 1 1
Direct
0.0000 0.0000 0.0000
0.5000 0.5000 0.0000
0.0000 0.5000 0.5000
0.5000 0.0000 0.5000
```


First-principles (GGA-PBE) data for an optimized crystal structure of Li4P2Au5, as listed in the Alexandria database.

Properties
- Magnetization: 0.00 μB/f.u.
- Volume: 16.770 Å³/atom
- VASP energy: -39.15 eV/cell

```
Li4P2Au5
1.0
-1.9420 1.8251 -2.2278
-5.2316 -3.5519 1.6506
-0.9021 5.8983 5.6185
Au Li P
5 4 2
Direct
0.0000 0.5000 0.0000
0.0000 0.1490 0.1505
0.0000 0.8510 0.8495
0.0000 0.4519 0.6632
0.0000 0.5481 0.3368
0.5000 0.2412 0.4289
0.5000 0.1959 0.8725
0.5000 0.7588 0.5711
0.5000 0.8041 0.1275
0.0000 0.9276 0.3751
0.0000 0.0724 0.6249
```


The lowest volume belongs to which entry? GaGeC3